No. 1
Computed, not measured: a relaxed structure of ScI at the PBE-GGA level of DFT.

Structure (CIF):
```
data_ScI
_cell_length_a 8.178
_cell_length_b 8.178
_cell_length_c 8.178
_cell_angle_alpha 90.00
_cell_angle_beta 90.00
_cell_angle_gamma 90.00
_symmetry_space_group_name_H-M 'P m -3 n'
_symmetry_Int_Tables_number 223
_symmetry_space_group_name_Hall '-P 4n 2 3'
loop_
_atom_site_label
_atom_site_fract_x
_atom_site_fract_y
_atom_site_fract_z
Sc1 0.000 0.250 0.500
I1 0.000 0.500 0.250
```

Output
Formation energy (no corrections) = 0.042 eV per atom


No. 2
Computed, not measured: a relaxed structure of ScI at the PBE-GGA level of DFT.

Structure (CIF):
```
data_ScI
_cell_length_a 8.809
_cell_length_b 10.436
_cell_length_c 10.650
_cell_angle_alpha 90.00
_cell_angle_beta 90.00
_cell_angle_gamma 90.00
_symmetry_space_group_name_H-M 'F d d d'
_symmetry_Int_Tables_number 70
loop_
_symmetry_equiv_pos_as_xyz
'x,y,z'
'-x,-y,-z'
'-x+1/4,-y+1/4,z'
'x+1/4,y+1/4,-z'
'x,-y+1/4,-z+1/4'
'-x,y+1/4,z+1/4'
'-x+1/4,y,-z+1/4'
'x+1/4,-y,z+1/4'
'x,y+1/2,z+1/2'
'-x,-y+1/2,-z+1/2'
'-x+1/4,-y+3/4,z+1/2'
'x+1/4,y+3/4,-z+1/2'
'x,-y+3/4,-z+3/4'
'-x,y+3/4,z+3/4'
'-x+1/4,y+1/2,-z+3/4'
'x+1/4,-y+1/2,z+3/4'
'x+1/2,y,z+1/2'
'-x+1/2,-y,-z+1/2'
'-x+3/4,-y+1/4,z+1/2'
'x+3/4,y+1/4,-z+1/2'
'x+1/2,-y+1/4,-z+3/4'
'-x+1/2,y+1/4,z+3/4'
'-x+3/4,y,-z+3/4'
'x+3/4,-y,z+3/4'
'x+1/2,y+1/2,z'
'-x+1/2,-y+1/2,-z'
'-x+3/4,-y+3/4,z'
'x+3/4,y+3/4,-z'
'x+1/2,-y+3/4,-z+1/4'
'-x+1/2,y+3/4,z+1/4'
'-x+3/4,y+1/2,-z+1/4'
'x+3/4,-y+1/2,z+1/4'
loop_
_atom_site_label
_atom_site_fract_x
_atom_site_fract_y
_atom_site_fract_z
Sc1 0.125 0.125 0.267
I1 0.084 0.375 0.875
```

Output
Formation energy (no corrections) = -0.380 eV per atom


No. 3
Computed, not measured: a relaxed structure of ScI at the PBE-GGA level of DFT.

Structure (CIF):
```
data_ScI
_cell_length_a 11.933
_cell_length_b 11.933
_cell_length_c 3.853
_cell_angle_alpha 90.00
_cell_angle_beta 90.00
_cell_angle_gamma 90.00
_symmetry_space_group_name_H-M 'P 4/m'
_symmetry_Int_Tables_number 83
_symmetry_space_group_name_Hall '-P 4'
loop_
_atom_site_label
_atom_site_fract_x
_atom_site_fract_y
_atom_site_fract_z
Sc1 0.078 0.608 0.000
Sc2 0.128 0.399 0.500
I1 0.098 0.213 0.000
I2 0.274 0.600 0.500
```

Output
Formation energy (no corrections) = -0.687 eV per atom


No. 4
Computed, not measured: a relaxed structure of ScI at the PBE-GGA level of DFT.

Structure (CIF):
```
data_ScI
_cell_length_a 7.063
_cell_length_b 7.168
_cell_length_c 8.951
_cell_angle_alpha 90.00
_cell_angle_beta 90.00
_cell_angle_gamma 90.00
_symmetry_space_group_name_H-M 'P 21 21 21'
_symmetry_Int_Tables_number 19
_symmetry_space_group_name_Hall 'P 2ac 2ab'
loop_
_atom_site_label
_atom_site_fract_x
_atom_site_fract_y
_atom_site_fract_z
Sc1 0.002 0.080 0.188
Sc2 0.182 0.206 0.573
I1 0.124 0.962 0.831
I2 0.141 0.428 0.020
```

Output
Formation energy (no corrections) = -0.508 eV per atom


No. 5
Computed, not measured: a relaxed structure of ScI at the PBE-GGA level of DFT.

Structure (CIF):
```
data_ScI
_cell_length_a 9.016
_cell_length_b 9.016
_cell_length_c 3.812
_cell_angle_alpha 90.00
_cell_angle_beta 90.00
_cell_angle_gamma 90.00
_symmetry_space_group_name_H-M 'P 42/m n m'
_symmetry_Int_Tables_number 136
_symmetry_space_group_name_Hall '-P 4n 2n'
loop_
_atom_site_label
_atom_site_fract_x
_atom_site_fract_y
_atom_site_fract_z
Sc1 0.106 0.106 0.000
I1 0.214 0.786 0.000
```

Output
Formation energy (no corrections) = -0.276 eV per atom


No. 6
Computed, not measured: a relaxed structure of ScI at the PBE-GGA level of DFT.

Structure (CIF):
```
data_ScI
_cell_length_a 5.943
_cell_length_b 5.943
_cell_length_c 5.943
_cell_angle_alpha 90.00
_cell_angle_beta 90.00
_cell_angle_gamma 90.00
_symmetry_space_group_name_H-M 'F m -3 m'
_symmetry_Int_Tables_number 225
_symmetry_space_group_name_Hall '-F 4 2 3'
loop_
_atom_site_label
_atom_site_fract_x
_atom_site_fract_y
_atom_site_fract_z
Sc1 0.000 0.000 0.000
I1 0.000 0.000 0.500
```

Output
Formation energy (no corrections) = -0.244 eV per atom


No. 7
Computed, not measured: a relaxed structure of ScI at the PBE-GGA level of DFT.

Structure (CIF):
```
data_ScI
_cell_length_a 3.788
_cell_length_b 13.769
_cell_length_c 7.105
_cell_angle_alpha 90.00
_cell_angle_beta 90.00
_cell_angle_gamma 90.00
_symmetry_space_group_name_H-M 'P m m n'
_symmetry_Int_Tables_number 59
loop_
_symmetry_equiv_pos_as_xyz
'x,y,z'
'-x,-y,-z'
'-x+1/2,-y+1/2,z'
'x+1/2,y+1/2,-z'
'x+1/2,-y,-z'
'-x+1/2,y,z'
'-x,y+1/2,-z'
'x,-y+1/2,z'
loop_
_atom_site_label
_atom_site_fract_x
_atom_site_fract_y
_atom_site_fract_z
Sc1 0.250 0.138 0.007
Sc2 0.250 0.750 0.289
I1 0.250 0.250 0.376
I2 0.250 0.537 0.256
```

Output
Formation energy (no corrections) = -0.635 eV per atom


No. 8
Computed, not measured: a relaxed structure of ScI at the PBE-GGA level of DFT.

Structure (CIF):
```
data_ScI
_cell_length_a 3.751
_cell_length_b 12.916
_cell_length_c 7.364
_cell_angle_alpha 90.00
_cell_angle_beta 90.00
_cell_angle_gamma 90.00
_symmetry_space_group_name_H-M 'A m m 2'
_symmetry_Int_Tables_number 38
_symmetry_space_group_name_Hall 'A 2 -2'
loop_
_atom_site_label
_atom_site_fract_x
_atom_site_fract_y
_atom_site_fract_z
Sc1 0.000 0.000 0.000
Sc2 0.500 0.114 0.305
I1 0.000 0.226 0.021
I2 0.500 0.000 0.671
```

Output
Formation energy (no corrections) = -0.609 eV per atom


No. 9
Computed, not measured: a relaxed structure of ScI at the PBE-GGA level of DFT.

Structure (CIF):
```
data_ScI
_cell_length_a 3.7385
_cell_length_b 3.7385
_cell_length_c 9.8669
_cell_angle_alpha 90.00
_cell_angle_beta 90.00
_cell_angle_gamma 120.00
_symmetry_space_group_name_H-M 'P 63 m c'
_symmetry_Int_Tables_number 186
_symmetry_space_group_name_Hall 'P 6c -2c'
loop_
_atom_site_label
_atom_site_fract_x
_atom_site_fract_y
_atom_site_fract_z
Sc1 0.3333 0.6667 0.0000
I1 0.3333 0.6667 0.2957
```

Output
Formation energy (no corrections) = -0.446 eV per atom


No. 10
Computed, not measured: a relaxed structure of ScI at the PBE-GGA level of DFT.

Structure (CIF):
```
data_ScI
_cell_length_a 3.745
_cell_length_b 3.744
_cell_length_c 8.849
_cell_angle_alpha 90.00
_cell_angle_beta 90.25
_cell_angle_gamma 90.00
_symmetry_space_group_name_H-M 'P 1 21/m 1'
_symmetry_Int_Tables_number 11
_symmetry_space_group_name_Hall '-P 2yb'
loop_
_atom_site_label
_atom_site_fract_x
_atom_site_fract_y
_atom_site_fract_z
Sc1 0.249 0.250 0.398
I1 0.253 0.250 0.782
```

Output
Formation energy (no corrections) = -0.741 eV per atom


Number 1: total DFT energy (no corrections) -0.14328 Ha/atom. Number 2: total DFT energy (no corrections) -0.15877 Ha/atom. Number 3: total DFT energy (no corrections) -0.17006 Ha/atom. Number 4: total DFT energy (no corrections) -0.16348 Ha/atom. Number 5: total DFT energy (no corrections) -0.15495 Ha/atom. Number 6: total DFT energy (no corrections) -0.15377 Ha/atom. Number 7: total DFT energy (no corrections) -0.16816 Ha/atom. Number 8: total DFT energy (no corrections) -0.16722 Ha/atom. Number 9: total DFT energy (no corrections) -0.16122 Ha/atom. Number 10: total DFT energy (no corrections) -0.17204 Ha/atom.